A geometry-optimized Sm2Zn3Cu12Si structure, computed with PBE.

Output
Formation energy without anion corrections ... 0.076 eV/atom

Lattice parameters (Å, degrees): 9.437 9.437 9.437 38.47 38.47 38.47
Fractional coordinates of all 18 atoms:
Cu  0.420  0.420  0.809
Sm  0.651  0.651  0.651
Cu  0.645  0.074  0.074
Cu  0.355  0.926  0.926
Cu  0.926  0.926  0.355
Zn  0.000  0.000  0.500
Cu  0.191  0.580  0.580
Sm  0.349  0.349  0.349
Cu  0.074  0.074  0.645
Cu  0.580  0.580  0.191
Cu  0.580  0.191  0.580
Cu  0.074  0.645  0.074
Zn  0.000  0.500  0.000
Cu  0.809  0.420  0.420
Cu  0.420  0.809  0.420
Zn  0.500  0.000  0.000
Si  0.000  0.000  0.000
Cu  0.926  0.355  0.926